This record from the Alexandria database describes crystalline KLi2LaPd at its relaxed geometry. The functional is PBE.

Values from the calculation:
D(E_F) ... 4.45 states/eV/cell
Calculated volume ... 31.79 Å³/atom
SG ... P4/mmm
Formation energy ... -0.034 eV/atom

abc: 5.438 5.438 5.375
angles: 90.00 90.00 90.00
Positions (direct):
La 0.000 0.000 0.500
Pd 0.000 0.000 0.000
Li 0.000 0.500 0.000
Li 0.500 0.000 0.000
K 0.500 0.500 0.500

---

This record from the Alexandria database describes crystalline FeAgBr2 at its relaxed geometry. The functional is PBE.

Values from the calculation:
D(E_F) ... 2.07 states/eV/cell
Calculated volume ... 23.78 Å³/atom
Raw formation energy ... 0.120 eV per atom
SG ... P4mm

abc: 3.571 3.571 7.459
angles: 90.00 90.00 90.00
Positions (direct):
Br 0.500 0.500 0.347
Br 0.000 0.000 0.895
Ag 0.500 0.500 0.722
Fe 0.000 0.000 0.536

---

This record from the Alexandria database describes crystalline Sr4LiHg5 at its relaxed geometry. The functional is PBE.

Values from the calculation:
D(E_F) ... 5.55 states/eV/cell
Calculated volume ... 29.72 Å³/atom
SG ... P4/mmm
Formation energy ... -0.473 eV/atom

abc: 3.883 3.883 19.709
angles: 90.00 90.00 90.00
Positions (direct):
Sr 0.000 0.000 0.395
Sr 0.000 0.000 0.605
Sr 0.000 0.000 0.184
Sr 0.000 0.000 0.816
Hg 0.500 0.500 0.924
Hg 0.500 0.500 0.289
Hg 0.500 0.500 0.500
Hg 0.500 0.500 0.076
Hg 0.500 0.500 0.711
Li 0.000 0.000 0.000

---

This record from the Alexandria database describes crystalline Cu3Se2 at its relaxed geometry. The functional is PBE.

Values from the calculation:
D(E_F) ... 3.16 states/eV/cell
Calculated volume ... 18.39 Å³/atom
Raw formation energy ... -0.093 eV per atom
SG ... R3m

abc: 4.008 4.002 7.017
angles: 73.41 73.41 59.95
Positions (direct):
Cu 0.162 0.093 0.584
Cu 0.413 0.344 0.830
Cu 0.654 0.589 0.103
Se 0.535 0.466 0.464
Se 0.031 0.964 0.974

---

This record from the Alexandria database describes crystalline BaBiAu at its relaxed geometry. The functional is PBE.

Values from the calculation:
D(E_F) ... 2.04 states/eV/cell
Calculated volume ... 34.32 Å³/atom
SG ... C2/m
Formation energy ... -0.646 eV/atom

abc: 4.762 7.251 6.425
angles: 100.13 90.00 109.17
Positions (direct):
Au 0.719 0.438 0.866
Au 0.281 0.562 0.134
Bi 0.896 0.792 0.268
Bi 0.104 0.208 0.732
Ba 0.618 0.236 0.293
Ba 0.382 0.764 0.707

---

This record from the Alexandria database describes crystalline RbI2O6 at its relaxed geometry. The functional is PBE.

Values from the calculation:
D(E_F) ... 1.61 states/eV/cell
Calculated volume ... 20.03 Å³/atom
Raw formation energy ... -0.541 eV per atom
SG ... C2/m

abc: 3.978 6.011 8.480
angles: 72.30 76.44 70.68
Positions (direct):
O 0.321 0.281 0.076
O 0.970 0.879 0.180
O 0.679 0.719 0.924
O 0.030 0.121 0.820
O 0.301 0.735 0.662
O 0.699 0.265 0.338
I 0.170 0.791 0.868
I 0.830 0.209 0.132
Rb 0.000 0.500 0.500

---

Look up the calculated volume of the fifth one.
34.32 Å³/atom

---

What is the formula in the sixth record?
RbI2O6